Arrangement i

Here is a geometry-optimized LaTiGe3 structure from Alexandria via LeMat-Bulk. Energies are from GGA-PBEsol.

total moment: 0.000 μB per atom

Cell: 6.256 6.256 5.826 Å, 90.00 90.00 120.00°
Element x y z (fractional)
La: 0.333 0.667 0.250
La: 0.667 0.333 0.750
Ti: 0.000 0.000 0.000
Ti: 0.000 0.000 0.500
Ge: 0.197 0.394 0.750
Ge: 0.197 0.803 0.750
Ge: 0.394 0.197 0.250
Ge: 0.606 0.803 0.750
Ge: 0.803 0.197 0.250
Ge: 0.803 0.606 0.250



Arrangement ii

Here is a geometry-optimized LaTiGe3 structure from Alexandria via LeMat-Bulk. Energies are from GGA-PBEsol.

total moment: 0.000 μB per atom

Cell: 4.805 4.805 4.805 Å, 90.00 90.00 90.00°
Element x y z (fractional)
La: 0.000 0.000 0.000
Ti: 0.500 0.500 0.500
Ge: 0.000 0.500 0.500
Ge: 0.500 0.000 0.500
Ge: 0.500 0.500 0.000



Most stable structure, least stable structure: arrangement i, arrangement ii.



Arrangement i

Here is a geometry-optimized Li2Mg2Ge structure from Alexandria via LeMat-Bulk. Energies are from GGA-PBEsol.

total moment: 0.000 μB per atom

Cell: 6.380 6.380 4.364 Å, 90.00 90.00 90.00°
Element x y z (fractional)
Li: 0.139 0.361 0.000
Li: 0.361 0.861 0.000
Li: 0.639 0.139 0.000
Li: 0.861 0.639 0.000
Mg: 0.179 0.679 0.500
Mg: 0.321 0.179 0.500
Mg: 0.679 0.821 0.500
Mg: 0.821 0.321 0.500
Ge: 0.000 0.000 0.000
Ge: 0.500 0.500 0.000



Arrangement ii

Here is a geometry-optimized Li2Mg2Ge structure from Alexandria via LeMat-Bulk. Energies are from GGA-PBEsol.

total moment: 0.000 μB per atom

Cell: 8.474 8.474 8.474 Å, 156.23 156.23 33.86°
Element x y z (fractional)
Li: 0.250 0.750 0.500
Li: 0.750 0.250 0.500
Mg: 0.098 0.098 0.000
Mg: 0.902 0.902 0.000
Ge: 0.500 0.500 0.000



Most stable structure, least stable structure: arrangement i, arrangement ii.



Arrangement i

Here is a geometry-optimized LiNi2Ge2 structure from Alexandria via LeMat-Bulk. Energies are from GGA-PBEsol.

total moment: 0.000 μB per atom

Cell: 6.969 6.969 2.679 Å, 90.00 90.00 90.00°
Element x y z (fractional)
Li: 0.000 0.000 0.000
Li: 0.500 0.500 0.000
Ni: 0.139 0.361 0.500
Ni: 0.361 0.861 0.500
Ni: 0.639 0.139 0.500
Ni: 0.861 0.639 0.500
Ge: 0.157 0.657 0.000
Ge: 0.343 0.157 0.000
Ge: 0.657 0.843 0.000
Ge: 0.843 0.343 0.000



Arrangement ii

Here is a geometry-optimized LiNi2Ge2 structure from Alexandria via LeMat-Bulk. Energies are from GGA-PBEsol.

total moment: 0.000 μB per atom

Cell: 5.846 5.846 5.846 Å, 143.03 143.03 53.28°
Element x y z (fractional)
Li: 0.000 0.000 0.000
Ni: 0.250 0.750 0.500
Ni: 0.750 0.250 0.500
Ge: 0.384 0.384 0.000
Ge: 0.616 0.616 0.000



Most stable structure, least stable structure: arrangement i, arrangement ii.



Arrangement i

Here is a geometry-optimized Li7VGeO8 structure from Alexandria via LeMat-Bulk. Energies are from GGA-PBEsol.

total moment: 0.005 μB per atom

Cell: 5.237 6.215 10.722 Å, 90.35 90.31 90.88°
Element x y z (fractional)
Li: 0.000 0.000 0.000
Li: 0.003 0.240 0.772
Li: 0.072 0.462 0.997
Li: 0.178 0.162 0.168
Li: 0.357 0.771 0.925
Li: 0.365 0.499 0.686
Li: 0.374 0.999 0.686
Li: 0.391 0.506 0.188
Li: 0.507 0.745 0.425
Li: 0.543 0.980 0.186
Li: 0.745 0.657 0.058
Li: 0.821 0.278 0.282
Li: 0.866 0.489 0.515
Li: 0.870 0.987 0.514
V: 0.353 0.242 0.436
V: 0.861 0.740 0.764
Ge: 0.020 0.744 0.267
Ge: 0.520 0.258 0.936
O: 0.024 0.238 0.435
O: 0.355 0.768 0.268
O: 0.374 0.047 0.026
O: 0.379 0.251 0.788
O: 0.438 0.504 0.013
O: 0.456 0.248 0.281
O: 0.466 0.466 0.511
O: 0.474 0.026 0.512
O: 0.533 0.750 0.763
O: 0.853 0.241 0.933
O: 0.877 0.734 0.413
O: 0.897 0.959 0.176
O: 0.964 0.500 0.177
O: 0.966 0.517 0.687
O: 0.972 0.731 0.918
O: 0.983 0.959 0.689



Arrangement ii

Here is a geometry-optimized Li7VGeO8 structure from Alexandria via LeMat-Bulk. Energies are from GGA-PBEsol.

total moment: 0.005 μB per atom

Cell: 5.318 6.311 10.632 Å, 90.00 91.18 90.00°
Element x y z (fractional)
Li: 0.000 0.000 0.000
Li: 0.008 0.231 0.231
Li: 0.008 0.769 0.231
Li: 0.164 0.000 0.491
Li: 0.248 0.199 0.757
Li: 0.248 0.801 0.757
Li: 0.485 0.500 0.633
Li: 0.527 0.252 0.392
Li: 0.527 0.748 0.392
Li: 0.634 0.500 0.153
Li: 0.645 0.251 0.916
Li: 0.645 0.749 0.916
Li: 0.901 0.309 0.730
Li: 0.901 0.691 0.730
V: 0.012 0.500 0.483
V: 0.150 0.500 0.977
Ge: 0.515 0.000 0.152
Ge: 0.669 0.000 0.643
O: 0.007 0.000 0.664
O: 0.036 0.500 0.123
O: 0.038 0.279 0.895
O: 0.038 0.721 0.895
O: 0.113 0.500 0.644
O: 0.127 0.282 0.412
O: 0.127 0.718 0.412
O: 0.182 0.000 0.154
O: 0.473 0.500 0.978
O: 0.536 0.000 0.495
O: 0.575 0.233 0.726
O: 0.575 0.767 0.726
O: 0.629 0.000 0.997
O: 0.638 0.228 0.228
O: 0.638 0.772 0.228
O: 0.689 0.500 0.482



Most stable structure, least stable structure: arrangement i, arrangement ii.



Arrangement i

Here is a geometry-optimized Li3SnGe structure from Alexandria via LeMat-Bulk. Energies are from GGA-PBEsol.

total moment: 0.000 μB per atom

Cell: 4.705 4.705 4.705 Å, 90.00 90.00 90.00°
Element x y z (fractional)
Li: 0.000 0.000 0.500
Li: 0.000 0.500 0.000
Li: 0.500 0.000 0.000
Sn: 0.500 0.500 0.500
Ge: 0.000 0.000 0.000



Arrangement ii

Here is a geometry-optimized Li3SnGe structure from Alexandria via LeMat-Bulk. Energies are from GGA-PBEsol.

total moment: 0.000 μB per atom

Cell: 4.935 4.935 4.935 Å, 90.00 90.00 90.00°
Element x y z (fractional)
Li: 0.000 0.000 0.500
Li: 0.000 0.500 0.000
Li: 0.500 0.000 0.000
Sn: 0.000 0.000 0.000
Ge: 0.500 0.500 0.500



Most stable structure, least stable structure: arrangement i, arrangement ii.



Arrangement i

Here is a geometry-optimized GeMo3Pd structure from Alexandria via LeMat-Bulk. Energies are from GGA-PBEsol.

total moment: 0.000 μB per atom

Cell: 4.654 4.654 4.654 Å, 90.00 90.00 90.00°
Element x y z (fractional)
Ge: 0.000 0.000 0.000
Mo: 0.000 0.500 0.500
Mo: 0.500 0.000 0.500
Mo: 0.500 0.500 0.000
Pd: 0.500 0.500 0.500



Arrangement ii

Here is a geometry-optimized GeMo3Pd structure from Alexandria via LeMat-Bulk. Energies are from GGA-PBEsol.

total moment: 0.000 μB per atom

Cell: 4.510 4.510 4.510 Å, 90.00 90.00 90.00°
Element x y z (fractional)
Ge: 0.000 0.000 0.000
Mo: 0.000 0.000 0.500
Mo: 0.000 0.500 0.000
Mo: 0.500 0.000 0.000
Pd: 0.500 0.500 0.500



Most stable structure, least stable structure: arrangement ii, arrangement i.



Arrangement i

Here is a geometry-optimized NaGeTe2N structure from Alexandria via LeMat-Bulk. Energies are from GGA-PBEsol.

total moment: 0.510 μB per atom

Cell: 5.485 5.485 4.207 Å, 90.00 90.00 90.00°
Element x y z (fractional)
Na: 0.000 0.000 0.000
Ge: 0.500 0.500 0.500
Te: 0.000 0.500 0.000
Te: 0.500 0.000 0.000
N: 0.000 0.000 0.500



Arrangement ii

Here is a geometry-optimized NaGeTe2N structure from Alexandria via LeMat-Bulk. Energies are from GGA-PBEsol.

total moment: 0.000 μB per atom

Cell: 5.830 5.830 3.460 Å, 90.00 90.00 90.00°
Element x y z (fractional)
Na: 0.000 0.000 0.000
Ge: 0.500 0.500 0.500
Te: 0.000 0.500 0.500
Te: 0.500 0.000 0.500
N: 0.500 0.500 0.000



Most stable structure, least stable structure: arrangement ii, arrangement i.



Arrangement i

Here is a geometry-optimized ReGe3N structure from Alexandria via LeMat-Bulk. Energies are from GGA-PBEsol.

total moment: 0.173 μB per atom

Cell: 4.122 4.122 4.122 Å, 90.00 90.00 90.00°
Element x y z (fractional)
Re: 0.000 0.000 0.000
Ge: 0.000 0.500 0.500
Ge: 0.500 0.000 0.500
Ge: 0.500 0.500 0.000
N: 0.500 0.500 0.500



Arrangement ii

Here is a geometry-optimized ReGe3N structure from Alexandria via LeMat-Bulk. Energies are from GGA-PBEsol.

total moment: 0.400 μB per atom

Cell: 4.747 4.747 4.747 Å, 90.00 90.00 90.00°
Element x y z (fractional)
Re: 0.000 0.000 0.000
Ge: 0.000 0.000 0.500
Ge: 0.000 0.500 0.000
Ge: 0.500 0.000 0.000
N: 0.500 0.500 0.500



Most stable structure, least stable structure: arrangement i, arrangement ii.